1.
12
Lattice="5.904 0.000 0.000 -0.008 7.264 0.000 -1.631 -3.627 7.554" Properties=species:S:1:pos:R:3 comment="KPSe4 (PBE-GGA, optimized geometry)" m_tot_mub_per_fu=0.0 polymorph_energy_ev_per_atom=0.2231 raw_formation_energy_mev_per_atom=-118 dos_at_fermi_per_ev_cell=3.4 pbc="T T T"
K -0.161 -1.656 7.553
K 4.427 5.292 0.001
P -0.819 1.818 3.777
P 2.137 -1.814 3.777
Se 0.431 3.766 2.751
Se -0.199 2.328 6.145
Se 1.520 5.960 1.407
Se 0.884 0.135 4.800
Se 3.382 3.502 2.754
Se 2.746 -2.323 6.147
Se 4.465 1.309 1.408
Se 3.835 -0.130 4.803

---

2.
4
Lattice="0.000 2.966 2.966 2.966 0.000 2.966 2.966 2.966 0.000" Properties=species:S:1:pos:R:3 comment="LiRu2Cl (PBE-GGA, optimized geometry)" m_tot_mub_per_fu=0.0 polymorph_energy_ev_per_atom=0.8917 raw_formation_energy_mev_per_atom=835 dos_at_fermi_per_ev_cell=3.1 pbc="T T T"
Li 0.000 0.000 0.000
Ru 1.483 1.483 1.483
Ru 4.449 4.449 4.449
Cl 2.966 2.966 2.966

---

3.
4
Lattice="4.197 0.000 0.000 -2.098 3.635 0.000 0.000 0.000 9.952" Properties=species:S:1:pos:R:3 comment="SrCd (PBE-GGA, optimized geometry)" m_tot_mub_per_fu=0.0 delta_e_f_mev_per_atom=-155 dos_at_fermi_per_ev_cell=1.8 pbc="T T T"
Sr 0.000 0.000 0.000
Sr 0.000 0.000 4.976
Cd 0.000 2.423 2.488
Cd 2.098 1.211 7.464

---

4.
6
Lattice="0.000 3.846 3.846 3.846 0.000 3.846 3.846 3.846 0.000" Properties=species:S:1:pos:R:3 comment="PmThIr4 (PBE-GGA, optimized geometry)" m_tot_mub_per_fu=0.0 delta_e_f_mev_per_atom=-775 dos_at_fermi_per_ev_cell=3.7 pbc="T T T"
Pm 0.000 0.000 0.000
Th 5.769 5.769 5.769
Ir 2.882 2.882 2.882
Ir 4.809 4.809 2.882
Ir 4.809 2.882 4.809
Ir 2.882 4.809 4.809

---

5.
11
Lattice="8.217 0.000 0.000 -4.108 7.116 0.000 0.000 0.000 7.367" Properties=species:S:1:pos:R:3 comment="Ba7AcN3 (PBE-GGA, optimized geometry)" m_tot_mub_per_fu=0.2 raw_formation_energy_mev_per_atom=-342 dos_at_fermi_per_ev_cell=8.8 pbc="T T T"
Ba 0.000 0.000 0.000
Ba -1.937 3.625 7.305
Ba 1.942 1.121 3.092
Ba 1.937 3.625 7.305
Ba 0.000 6.981 7.305
Ba 6.275 1.121 3.092
Ba 4.108 4.873 3.092
Ac 0.000 4.744 3.004
N 0.000 2.629 1.710
N -1.831 5.801 1.710
N 1.831 5.801 1.710

---

6.
4
Lattice="4.761 0.000 0.000 0.000 4.761 0.000 0.000 0.000 4.694" Properties=species:S:1:pos:R:3 comment="Pa2TlPb (PBE-GGA, optimized geometry)" m_tot_mub_per_fu=1.6 delta_e_f_mev_per_atom=178 polymorph_energy_ev_per_atom=0.0000 dos_at_fermi_per_ev_cell=8.3 pbc="T T T"
Pa 0.000 2.380 0.000
Pa 2.380 0.000 0.000
Tl 0.000 0.000 2.347
Pb 2.380 2.380 2.347